Entry from the Alexandria database: a relaxed structure of MnCoTeS (PBE).

Properties
Energy relative to the elements, uncorrected ... -0.9 eV/f.u.
Total DFT energy (no corrections) ... -6.10 eV/atom
Spin magnetization ... 3.2 μB per cell
Energy relative to the lowest polymorph listed for this composition ... 78 meV per atom

a = 3.913 Å, b = 3.913 Å, c = 6.319 Å
α = 107.88°, β = 107.88°, γ = 60.41°
Sites, in units of the cell vectors:
1 Mn 0.000 0.000 0.000
2 Co 0.158 0.158 0.468
3 Te 0.774 0.774 0.319
4 S 0.280 0.280 0.835

=====

Entry from the Alexandria database: a relaxed structure of MnCoTeS (PBE).

Properties
Energy relative to the elements, uncorrected ... -0.6 eV/f.u.
Total DFT energy (no corrections) ... -6.03 eV/atom
Spin magnetization ... 2.2 μB per cell
Energy relative to the lowest polymorph listed for this composition ... 142 meV per atom

a = 6.245 Å, b = 6.245 Å, c = 6.245 Å
α = 34.00°, β = 34.00°, γ = 34.00°
Sites, in units of the cell vectors:
1 Mn 0.000 0.000 0.000
2 Co 0.442 0.442 0.442
3 Te 0.228 0.228 0.228
4 S 0.737 0.737 0.737

=====

Entry from the Alexandria database: a relaxed structure of MnCoTeS (PBE).

Properties
Energy relative to the elements, uncorrected ... -0.9 eV/f.u.
Total DFT energy (no corrections) ... -6.11 eV/atom
Spin magnetization ... 2.9 μB per cell
Energy relative to the lowest polymorph listed for this composition ... 71 meV per atom

a = 4.162 Å, b = 4.162 Å, c = 5.579 Å
α = 91.91°, β = 91.91°, γ = 47.40°
Sites, in units of the cell vectors:
1 Mn 0.000 0.000 0.000
2 Co 0.290 0.290 0.264
3 Te 0.994 0.994 0.492
4 S 0.709 0.709 0.006

=====

Entry from the Alexandria database: a relaxed structure of MnCoTeS (PBE).

Properties
Energy relative to the elements, uncorrected ... -1.1 eV/f.u.
Total DFT energy (no corrections) ... -6.15 eV/atom
Spin magnetization ... 2.9 μB per cell
Energy relative to the lowest polymorph listed for this composition ... 24 meV per atom

a = 6.754 Å, b = 6.754 Å, c = 6.754 Å
α = 33.56°, β = 33.56°, γ = 33.56°
Sites, in units of the cell vectors:
1 Mn 0.000 0.000 0.000
2 Co 0.401 0.401 0.401
3 Te 0.784 0.784 0.784
4 S 0.287 0.287 0.287

=====

Entry from the Alexandria database: a relaxed structure of MnTlCoS3 (PBE).

Properties
Energy relative to the elements, uncorrected ... -2.7 eV/f.u.
Total DFT energy (no corrections) ... -5.62 eV/atom
Spin magnetization ... 2.6 μB per cell

a = 7.855 Å, b = 3.471 Å, c = 9.253 Å
α = 90.00°, β = 111.49°, γ = 90.00°
Sites, in units of the cell vectors:
1 Mn 0.032 0.250 0.333
2 Mn 0.968 0.750 0.667
3 Tl 0.492 0.750 0.786
4 Tl 0.508 0.250 0.214
5 Co 0.027 0.750 0.108
6 Co 0.973 0.250 0.892
7 S 0.153 0.250 0.614
8 S 0.157 0.750 0.929
9 S 0.238 0.750 0.338
10 S 0.762 0.250 0.662
11 S 0.843 0.250 0.071
12 S 0.847 0.750 0.386

=====

Entry from the Alexandria database: a relaxed structure of MnCo2WS (PBE).

Properties
Energy relative to the elements, uncorrected ... 2.3 eV/f.u.
Total DFT energy (no corrections) ... -7.63 eV/atom
Spin magnetization ... 5.2 μB per cell

a = 4.059 Å, b = 4.059 Å, c = 4.451 Å
α = 90.00°, β = 90.00°, γ = 90.00°
Sites, in units of the cell vectors:
1 Mn 0.000 0.000 0.000
2 Co 0.000 0.500 0.500
3 Co 0.500 0.000 0.500
4 W 0.500 0.500 0.000
5 S 0.500 0.500 0.500

=====

Entry from the Alexandria database: a relaxed structure of MnCo4Sb (PBE).

Properties
Energy relative to the elements, uncorrected ... 0.9 eV/f.u.
Total DFT energy (no corrections) ... -6.81 eV/atom
Spin magnetization ... 9.6 μB per cell

a = 4.812 Å, b = 4.812 Å, c = 4.812 Å
α = 60.00°, β = 60.00°, γ = 60.00°
Sites, in units of the cell vectors:
1 Mn 0.000 0.000 0.000
2 Co 0.375 0.375 0.375
3 Co 0.375 0.375 0.876
4 Co 0.375 0.876 0.375
5 Co 0.876 0.375 0.375
6 Sb 0.750 0.750 0.750

=====

Entry from the Alexandria database: a relaxed structure of MnCoSb6 (PBE).

Properties
Energy relative to the elements, uncorrected ... -0.6 eV/f.u.
Total DFT energy (no corrections) ... -5.21 eV/atom
Spin magnetization ... 4.0 μB per cell

a = 7.971 Å, b = 7.971 Å, c = 9.233 Å
α = 124.95°, β = 124.95°, γ = 70.71°
Sites, in units of the cell vectors:
1 Mn 0.000 0.500 0.000
2 Mn 0.500 0.000 0.000
3 Co 0.000 0.500 0.500
4 Co 0.500 0.000 0.500
5 Sb 0.153 0.837 0.660
6 Sb 0.163 0.847 0.340
7 Sb 0.176 0.508 0.837
8 Sb 0.330 0.330 0.489
9 Sb 0.341 0.341 0.183
10 Sb 0.492 0.824 0.163
11 Sb 0.508 0.176 0.837
12 Sb 0.659 0.659 0.817
13 Sb 0.670 0.670 0.511
14 Sb 0.824 0.492 0.163
15 Sb 0.837 0.153 0.660
16 Sb 0.847 0.163 0.340

=====

Entry from the Alexandria database: a relaxed structure of Mn2Co2Sb (PBE).

Properties
Energy relative to the elements, uncorrected ... 2.1 eV/f.u.
Total DFT energy (no corrections) ... -6.92 eV/atom
Spin magnetization ... 2.8 μB per cell
Energy relative to the lowest polymorph listed for this composition ... 73 meV per atom

a = 5.561 Å, b = 5.561 Å, c = 5.561 Å
α = 140.90°, β = 140.90°, γ = 56.49°
Sites, in units of the cell vectors:
1 Mn 0.107 0.107 0.000
2 Mn 0.893 0.893 0.000
3 Co 0.250 0.750 0.500
4 Co 0.750 0.250 0.500
5 Sb 0.500 0.500 0.000

=====

Entry from the Alexandria database: a relaxed structure of MnCo3Sb (PBE).

Properties
Energy relative to the elements, uncorrected ... 8.9 eV/f.u.
Total DFT energy (no corrections) ... -5.14 eV/atom
Spin magnetization ... 4.0 μB per cell

a = 4.560 Å, b = 4.560 Å, c = 4.560 Å
α = 90.00°, β = 90.00°, γ = 90.00°
Sites, in units of the cell vectors:
1 Mn 0.000 0.000 0.000
2 Co 0.000 0.500 0.500
3 Co 0.500 0.000 0.500
4 Co 0.500 0.500 0.000
5 Sb 0.500 0.500 0.500

=====

Entry from the Alexandria database: a relaxed structure of Mn3CoSb (PBE).

Properties
Energy relative to the elements, uncorrected ... 3.3 eV/f.u.
Total DFT energy (no corrections) ... -7.08 eV/atom
Spin magnetization ... 12.2 μB per cell
Energy relative to the lowest polymorph listed for this composition ... 0 meV per atom

a = 4.496 Å, b = 4.496 Å, c = 4.496 Å
α = 90.00°, β = 90.00°, γ = 90.00°
Sites, in units of the cell vectors:
1 Mn 0.000 0.000 0.500
2 Mn 0.000 0.500 0.000
3 Mn 0.500 0.000 0.000
4 Co 0.000 0.000 0.000
5 Sb 0.500 0.500 0.500

=====

Entry from the Alexandria database: a relaxed structure of Mn2Co2Sb (PBE).

Properties
Energy relative to the elements, uncorrected ... 1.7 eV/f.u.
Total DFT energy (no corrections) ... -6.99 eV/atom
Spin magnetization ... 16.9 μB per cell
Energy relative to the lowest polymorph listed for this composition ... 0 meV per atom

a = 7.010 Å, b = 7.010 Å, c = 2.908 Å
α = 90.00°, β = 90.00°, γ = 90.00°
Sites, in units of the cell vectors:
1 Mn 0.138 0.362 0.000
2 Mn 0.362 0.862 0.000
3 Mn 0.638 0.138 0.000
4 Mn 0.862 0.638 0.000
5 Co 0.148 0.648 0.500
6 Co 0.352 0.148 0.500
7 Co 0.648 0.852 0.500
8 Co 0.852 0.352 0.500
9 Sb 0.000 0.000 0.000
10 Sb 0.500 0.500 0.000